# TlTcAg2

Crystalline TlTcAg2 at its relaxed geometry (PBE, Alexandria via LeMat-Bulk).

Results
For the magnetic moment, the calculation gives 1.82 Bohr magnetons per cell. Its space-group type is No. 119. As for the relative energy among the computed polymorphs: 0.35 eV/f.u. The mass density is 11565 kg/m³. Its total energy is -3.9968 eV/atom. The calculation puts the formation enthalpy at 0 K at 0.612 eV/atom.

```
TlTcAg2
1.0
-0.1853 -4.8655 0.3268
4.6622 -0.8794 1.1420
-2.9477 3.1060 2.3405
Tl Ag Tc
1 2 1
Direct
0.7500 0.2500 0.5000
0.0000 0.0000 0.0000
0.2500 0.7500 0.5000
0.5000 0.5000 0.0000
```